w:
CuSiCl, relaxed, DFT PBE; N(E_F) = 0.5 states/eV/f.u.; calculated density = 3.8 g cm⁻³; magnetic moment = 0.00 μB/f.u.; volume = 18.65 A^3/atom
1.0
-5.4151 3.3071 -0.6055
-5.7081 0.3539 -1.9324
-1.5114 0.2801 2.8644
Si Cu Cl
1 1 1
Direct
0.7013 0.7013 0.2987
0.3342 0.3342 0.6658
0.9645 0.9645 0.0355

=====

x:
CuSiCl, relaxed, DFT PBE; N(E_F) = 1.0 states/eV/f.u.; calculated density = 4.0 g cm⁻³; magnetic moment = 0.00 μB/f.u.; volume = 17.70 A^3/atom
1.0
3.4390 0.0000 0.0000
-1.7195 2.9783 0.0000
0.0000 0.0000 5.1854
Si Cu Cl
1 1 1
Direct
0.6667 0.3333 0.6117
0.3333 0.6667 0.3522
0.0000 0.0000 0.0362

=====

x comes first in stability; the runner-up is 0.031 eV/atom higher.

=====

w:
CuSiCl, relaxed, DFT PBE; N(E_F) = 1.4 states/eV/f.u.; calculated density = 3.6 g cm⁻³; magnetic moment = 0.00 μB/f.u.; volume = 19.61 A^3/atom
1.0
-2.0569 0.9881 3.7217
-4.2893 0.8119 -0.0258
-2.7735 -2.8590 1.7866
Cu Si Cl
1 1 1
Direct
0.2500 0.2500 0.2500
0.0000 0.0000 0.0000
0.5000 0.5000 0.5000

=====

x:
CuSiCl, relaxed, DFT PBE; N(E_F) = 0.6 states/eV/f.u.; calculated density = 3.3 g cm⁻³; magnetic moment = 0.00 μB/f.u.; volume = 21.47 A^3/atom
1.0
4.4998 0.0000 0.0000
2.2499 3.8969 0.0000
2.2499 1.2990 3.6740
Si Cl Cu
1 1 1
Direct
0.5000 0.5000 0.5000
0.2500 0.2500 0.2500
0.0000 0.0000 0.0000

=====

w comes first in stability; the runner-up is 0.393 eV/atom higher.